A relaxed structure of NaBe2P2, computed with GGA-PBEsol.

- calculated formation energy (meV per atom) = -310
- electronic total energy (eV/atom) = -4.507

Cell lengths 3.3745, 3.3745, 13.5227 Å; angles 90.00, 90.00, 90.00 degrees
Space group I4/mmm (No. 139)
Asymmetric unit:
Na 0.0000 0.0000 0.0000 (multiplicity 2)
Be 0.0000 0.5000 0.2500 (multiplicity 4)
P 0.0000 0.0000 0.3530 (multiplicity 4)

A relaxed structure of La2ZrHgRh, computed with GGA-PBEsol.

- calculated formation energy (meV per atom) = 944
- electronic total energy (eV/atom) = -4.754

Cell lengths 5.6754, 5.6754, 5.1879 Å; angles 90.00, 90.00, 90.00 degrees
Space group P4/mmm (No. 123)
Asymmetric unit:
La 0.0000 0.5000 0.0000 (multiplicity 2)
Zr 0.0000 0.0000 0.5000 (multiplicity 1)
Hg 0.0000 0.0000 0.0000 (multiplicity 1)
Rh 0.5000 0.5000 0.5000 (multiplicity 1)

A relaxed structure of Na3Hg, computed with GGA-PBEsol.

- calculated formation energy (meV per atom) = -139
- electronic total energy (eV/atom) = -1.331

Cell lengths 6.8459, 6.8459, 5.3970 Å; angles 90.00, 90.00, 120.00 degrees
Space group P6_3/mmc (No. 194)
Asymmetric unit:
Na 0.1746 0.3492 0.2500 (multiplicity 6)
Hg 0.3333 0.6667 0.7500 (multiplicity 2)

A relaxed structure of LiGdSe2, computed with GGA-PBEsol.

- formation energy from raw total energies (meV/atom) = -1703
- electronic total energy (eV/atom) = -7.732

Cell lengths 4.0550, 4.0550, 19.1180 Å; angles 90.00, 90.00, 120.00 degrees
Space group R-3m (No. 166, hexagonal axes)
Asymmetric unit:
Li 0.0000 0.0000 0.0000 (multiplicity 3)
Gd 0.0000 0.0000 0.5000 (multiplicity 3)
Se 0.0000 0.0000 0.2523 (multiplicity 6)

A relaxed structure of UGeAu, computed with GGA-PBEsol.

- calculated formation energy (meV per atom) = -217
- electronic total energy (eV/atom) = -7.224

Cell lengths 4.7959, 4.7959, 5.6238 Å; angles 90.00, 90.00, 120.00 degrees
Space group P6_3/mmc (No. 194)
Asymmetric unit:
U 0.0000 0.0000 0.0000 (multiplicity 2)
Ge 0.3333 0.6667 0.2500 (multiplicity 2)
Au 0.3333 0.6667 0.7500 (multiplicity 2)

A relaxed structure of TiSF2, computed with GGA-PBEsol.

- formation energy from raw total energies (meV/atom) = -1738
- electronic total energy (eV/atom) = -5.879
- relative energy among the computed polymorphs (meV per atom) = 0

Cell lengths 3.7936, 3.7936, 13.9881 Å; angles 90.00, 90.00, 90.00 degrees
Space group I-42d (No. 122)
Asymmetric unit:
Ti 0.0000 0.0000 0.0000 (multiplicity 4)
S 0.0000 0.0000 0.5000 (multiplicity 4)
F 0.1336 0.2500 0.1250 (multiplicity 8)

A relaxed structure of ScTc2Se, computed with GGA-PBEsol.

- formation energy from raw total energies (meV/atom) = -183
- electronic total energy (eV/atom) = -8.430

Cell lengths 3.0206, 4.0340, 5.0902 Å; angles 90.00, 90.00, 90.00 degrees
Space group Pmm2 (No. 25)
Asymmetric unit:
Sc 0.0000 0.0000 0.0000 (multiplicity 1)
Tc 0.0000 0.0000 0.5103 (multiplicity 1)
Tc 0.5000 0.5000 0.7113 (multiplicity 1)
Se 0.5000 0.5000 0.2303 (multiplicity 1)

A relaxed structure of LaAl2Tl, computed with GGA-PBEsol.

- calculated formation energy (meV per atom) = 55
- electronic total energy (eV/atom) = -3.985
- relative energy among the computed polymorphs (meV per atom) = 241

Cell lengths 4.6970, 4.6970, 19.6473 Å; angles 90.00, 90.00, 90.00 degrees
Space group I-42d (No. 122)
Asymmetric unit:
La 0.0000 0.0000 0.0000 (multiplicity 4)
Al 0.1251 0.2500 0.6250 (multiplicity 8)
Tl 0.0000 0.0000 0.5000 (multiplicity 4)

A relaxed structure of BeSb4Cl, computed with GGA-PBEsol.

- formation energy from raw total energies (meV/atom) = 519
- electronic total energy (eV/atom) = -3.521

Cell lengths 8.5813, 8.5813, 8.5813 Å; angles 90.00, 90.00, 90.00 degrees
Space group F-43m (No. 216)
Asymmetric unit:
Be 0.0000 0.0000 0.0000 (multiplicity 4)
Sb 0.1213 0.1213 0.3787 (multiplicity 16)
Cl 0.2500 0.2500 0.7500 (multiplicity 4)

A relaxed structure of MoOs3, computed with GGA-PBEsol.

- calculated formation energy (meV per atom) = 35
- electronic total energy (eV/atom) = -12.069

Cell lengths 2.7388, 2.7388, 8.7677 Å; angles 90.00, 90.00, 120.00 degrees
Space group P-6m2 (No. 187)
Asymmetric unit:
Mo 0.0000 0.0000 0.0000 (multiplicity 1)
Os 0.0000 0.0000 0.5000 (multiplicity 1)
Os 0.6667 0.3333 0.2549 (multiplicity 2)

A relaxed structure of Ir3Ru, computed with GGA-PBEsol.

- calculated formation energy (meV per atom) = -32
- electronic total energy (eV/atom) = -9.943

Cell lengths 3.8116, 3.8116, 15.2542 Å; angles 90.00, 90.00, 90.00 degrees
Space group I4/mmm (No. 139)
Asymmetric unit:
Ir 0.0000 0.0000 0.1240 (multiplicity 4)
Ir 0.0000 0.5000 0.0000 (multiplicity 4)
Ir 0.0000 0.5000 0.2500 (multiplicity 4)
Ru 0.0000 0.0000 0.3740 (multiplicity 4)

A relaxed structure of CdMo2Au, computed with GGA-PBEsol.

- calculated formation energy (meV per atom) = 399
- electronic total energy (eV/atom) = -6.765

Cell lengths 2.8044, 2.8044, 28.9548 Å; angles 90.00, 90.00, 120.00 degrees
Space group R-3m (No. 166, hexagonal axes)
Asymmetric unit:
Cd 0.0000 0.0000 0.0000 (multiplicity 3)
Mo 0.0000 0.0000 0.2475 (multiplicity 6)
Au 0.0000 0.0000 0.5000 (multiplicity 3)